Here is an optimized crystal structure of AlAu from Alexandria. Energies are from PBE. Values from VASP.

```
&SYSTEM
  ibrav = 0, nat = 4, ntyp = 2
/
ATOMIC_SPECIES
Au 196.97 Au.upf
Al 26.98 Al.upf
CELL_PARAMETERS angstrom
-1.284 4.916 -0.326
-4.308 1.072 2.491
4.283 -2.450 1.254
ATOMIC_POSITIONS crystal
Au 0.500 0.500 0.000
Au 0.750 0.250 0.500
Al 0.000 0.000 0.000
Al 0.250 0.750 0.500
```

Results
formation energy: -4.77 kcal/mol of atoms
theoretical density: 11.0 Mg/m³
D(E_F): 0.4967 states/eV per atom
size of the total moment: 0.0 μB per cell

Here is an optimized crystal structure of Ho5Tl2C from Alexandria. Energies are from PBE. Values from VASP.

```
&SYSTEM
  ibrav = 0, nat = 16, ntyp = 3
/
ATOMIC_SPECIES
Ho 164.93 Ho.upf
Tl 204.38 Tl.upf
C 12.01 C.upf
CELL_PARAMETERS angstrom
-2.031 0.770 -4.417
7.812 -3.199 -1.407
-4.624 -11.357 0.146
ATOMIC_POSITIONS crystal
Ho 0.908 0.817 0.889
Ho 0.908 0.817 0.611
Ho 0.294 0.587 0.412
Ho 0.294 0.587 0.088
Ho 0.708 0.415 0.250
Ho 0.292 0.585 0.750
Ho 0.706 0.413 0.588
Ho 0.706 0.413 0.912
Ho 0.092 0.183 0.111
Ho 0.092 0.183 0.389
Tl 0.902 0.804 0.366
Tl 0.902 0.804 0.134
Tl 0.098 0.196 0.634
Tl 0.098 0.196 0.866
C 0.809 0.618 0.750
C 0.191 0.382 0.250
```

Results
formation energy: 1.33 kcal/mol of atoms
theoretical density: 8.4 Mg/m³
D(E_F): 0.9501 states/eV per atom
size of the total moment: 0.0 μB per cell

Here is an optimized crystal structure of TlZnFe2 from Alexandria. Energies are from PBE. Values from VASP.

```
&SYSTEM
  ibrav = 0, nat = 4, ntyp = 3
/
ATOMIC_SPECIES
Fe 55.84 Fe.upf
Tl 204.38 Tl.upf
Zn 65.41 Zn.upf
CELL_PARAMETERS angstrom
-1.623 -1.667 2.076
-0.465 -2.216 -2.143
5.562 -3.023 1.920
ATOMIC_POSITIONS crystal
Fe 0.000 0.000 0.022
Fe 0.500 0.500 0.190
Tl 0.000 0.000 0.482
Zn 0.500 0.500 0.806
```

Results
formation energy: 6.76 kcal/mol of atoms
theoretical density: 9.9 Mg/m³
E above lowest polymorph: 0.000 eV/atom
D(E_F): 0.6133 states/eV per atom
size of the total moment: 5.1 μB per cell

Here is an optimized crystal structure of MgGe2Cl6 from Alexandria. Energies are from PBE. Values from VASP.

```
&SYSTEM
  ibrav = 0, nat = 18, ntyp = 3
/
ATOMIC_SPECIES
Mg 24.30 Mg.upf
Ge 72.64 Ge.upf
Cl 35.45 Cl.upf
CELL_PARAMETERS angstrom
6.471 -0.909 -0.880
0.829 8.821 0.774
0.829 1.060 8.791
ATOMIC_POSITIONS crystal
Mg 0.250 0.072 0.928
Mg 0.750 0.928 0.072
Ge 0.315 0.621 0.816
Ge 0.185 0.184 0.379
Ge 0.685 0.379 0.184
Ge 0.815 0.816 0.621
Cl 0.488 0.688 0.563
Cl 0.012 0.437 0.312
Cl 0.512 0.312 0.437
Cl 0.988 0.563 0.688
Cl 0.917 0.866 0.361
Cl 0.583 0.639 0.134
Cl 0.083 0.134 0.639
Cl 0.417 0.361 0.866
Cl 0.043 0.825 0.971
Cl 0.457 0.029 0.175
Cl 0.957 0.175 0.029
Cl 0.543 0.971 0.825
```

Results
theoretical density: 2.5 Mg/m³
formation energy without anion corrections: -1.0950 eV per atom
D(E_F): 0.0000 states/eV per atom
size of the total moment: 0.0 μB per cell

Here is an optimized crystal structure of Ba2ZnAgH6 from Alexandria. Energies are from PBE. Values from VASP.

```
&SYSTEM
  ibrav = 0, nat = 10, ntyp = 4
/
ATOMIC_SPECIES
Ba 137.33 Ba.upf
Zn 65.41 Zn.upf
Ag 107.87 Ag.upf
H 1.01 H.upf
CELL_PARAMETERS angstrom
5.774 -0.005 0.009
-0.005 5.774 0.009
-2.879 -2.878 4.079
ATOMIC_POSITIONS crystal
Ba 0.751 0.250 0.500
Ba 0.249 0.752 0.500
Zn 0.000 0.000 0.000
Ag 0.500 0.501 0.000
H 0.766 0.767 0.003
H 0.766 0.766 0.530
H 0.233 0.234 0.997
H 0.765 0.235 0.000
H 0.234 0.234 0.469
H 0.234 0.766 0.000
```

Results
theoretical density: 5.5 Mg/m³
E_tot: -3.04 eV per atom
D(E_F): 0.1909 states/eV per atom
size of the total moment: 0.0 μB per cell

Here is an optimized crystal structure of NbV2S4 from Alexandria. Energies are from PBE. Values from VASP.

```
&SYSTEM
  ibrav = 0, nat = 7, ntyp = 3
/
ATOMIC_SPECIES
Nb 92.91 Nb.upf
S 32.06 S.upf
V 50.94 V.upf
CELL_PARAMETERS angstrom
-4.703 -0.112 1.263
0.234 -4.845 0.442
-0.714 -1.883 6.568
ATOMIC_POSITIONS crystal
Nb 0.000 0.000 0.000
S 0.203 0.203 0.594
S 0.797 0.797 0.406
S 0.000 0.500 0.000
S 0.500 0.000 0.000
V 0.390 0.390 0.219
V 0.610 0.610 0.781
```

Results
theoretical density: 3.8 Mg/m³
E above lowest polymorph: 0.503 eV/atom
formation energy without anion corrections: -0.2171 eV per atom
D(E_F): 0.9207 states/eV per atom
size of the total moment: 5.9 μB per cell

Here is an optimized crystal structure of Sm6CdSi2S14 from Alexandria. Energies are from PBE. Values from VASP.

```
&SYSTEM
  ibrav = 0, nat = 23, ntyp = 4
/
ATOMIC_SPECIES
Sm 150.36 Sm.upf
Cd 112.41 Cd.upf
Si 28.09 Si.upf
S 32.06 S.upf
CELL_PARAMETERS angstrom
10.159 0.000 0.000
-5.079 8.798 0.000
0.000 0.000 5.693
ATOMIC_POSITIONS crystal
Sm 0.642 0.876 0.248
Sm 0.124 0.766 0.248
Sm 0.234 0.358 0.248
Sm 0.358 0.124 0.752
Sm 0.876 0.234 0.752
Sm 0.766 0.642 0.752
Cd 0.000 0.000 0.489
Si 0.333 0.667 0.834
Si 0.667 0.333 0.342
S 0.333 0.667 0.465
S 0.667 0.333 0.971
S 0.742 0.910 0.729
S 0.090 0.832 0.729
S 0.168 0.258 0.729
S 0.257 0.088 0.238
S 0.912 0.170 0.238
S 0.830 0.743 0.238
S 0.478 0.590 0.983
S 0.410 0.888 0.983
S 0.112 0.522 0.983
S 0.522 0.410 0.488
S 0.590 0.112 0.488
S 0.888 0.478 0.488
```

Results
theoretical density: 5.0 Mg/m³
formation energy without anion corrections: -1.5930 eV per atom
D(E_F): 0.0000 states/eV per atom
size of the total moment: 0.0 μB per cell

Here is an optimized crystal structure of Pm6SiPb2 from Alexandria. Energies are from PBE. Values from VASP.

```
&SYSTEM
  ibrav = 0, nat = 9, ntyp = 3
/
ATOMIC_SPECIES
Pm 145.00 Pm.upf
Si 28.09 Si.upf
Pb 207.20 Pb.upf
CELL_PARAMETERS angstrom
-1.180 -4.224 -0.153
8.212 -2.306 0.307
-4.431 0.976 7.229
ATOMIC_POSITIONS crystal
Pm 0.500 0.602 0.000
Pm 0.500 0.398 0.398
Pm 0.500 0.000 0.602
Pm 0.000 0.245 0.000
Pm 0.000 0.755 0.755
Pm 0.000 0.000 0.245
Si 0.500 0.000 0.000
Pb 0.000 0.333 0.667
Pb 0.000 0.667 0.333
```

Results
theoretical density: 7.9 Mg/m³
formation energy without anion corrections: -0.4781 eV per atom
D(E_F): 0.8231 states/eV per atom
size of the total moment: 5.5 μB per cell

> Which value of theoretical density does entry 1 give?

11.0 Mg/m³